1.
A plane-wave DFT calculation with GGA-PBE was carried out for a relaxed structure of KVInBr6.

Lattice parameters (Å, degrees): 6.995 6.995 14.590 90.00 90.00 120.00
Site moments in Bohr magnetons follow the coordinates.
Element x y z (fractional)
Br1 0.638 0.015 0.854  0.00
Br2 0.376 0.015 0.646  0.00
Br3 0.362 0.376 0.354  0.00
Br4 0.015 0.638 0.354  0.00
Br5 0.376 0.362 0.854  0.00
Br6 0.015 0.376 0.146  0.00
Br7 0.362 0.985 0.146  0.00
Br8 0.624 0.638 0.146  0.00
Br9 0.985 0.362 0.646  0.00
Br10 0.638 0.624 0.646  0.00
Br11 0.985 0.624 0.854  0.00
Br12 0.624 0.985 0.354  0.00
V1 0.667 0.333 0.750  2.48
V2 0.333 0.667 0.250  2.48
K1 0.000 0.000 0.000  0.00
K2 0.000 0.000 0.500  0.00
In1 0.333 0.667 0.750  0.09
In2 0.667 0.333 0.250  0.09

The value obtained for the energy relative to the elements, uncorrected is -1.04 eV per atom.


2.
A plane-wave DFT calculation with GGA-PBE was carried out for a relaxed structure of LaTiAl.

Lattice parameters (Å, degrees): 4.746 5.905 7.677 128.66 90.01 66.29
Element x y z (fractional)
Al1 0.309 0.253 0.095
Al2 0.404 0.064 0.339
La1 0.623 0.626 0.520
La2 0.090 0.692 0.913
Ti1 0.748 0.375 0.990
Ti2 0.965 0.943 0.444

As for the relative energy among the computed polymorphs: 0.0 kJ/mol of atoms. As for the formation energy: -0.055 eV/atom.


3.
A plane-wave DFT calculation with GGA-PBE was carried out for a relaxed structure of TlSiSb2.

Lattice parameters (Å, degrees): 8.143 8.143 8.143 28.48 28.48 28.48
Element x y z (fractional)
Sb1 0.237 0.237 0.237
Sb2 0.995 0.995 0.995
Tl1 0.759 0.759 0.759
Si1 0.509 0.509 0.509

As for the relative energy among the computed polymorphs: 9.5 kJ/mol of atoms. The value obtained for the energy relative to the elements, uncorrected is 0.27 eV per atom.


4.
A plane-wave DFT calculation with GGA-PBE was carried out for a relaxed structure of ErPu2Pt3.

Lattice parameters (Å, degrees): 5.728 8.171 7.034 106.90 114.03 90.00
Site moments in Bohr magnetons follow the coordinates.
Element x y z (fractional)
Pt1 0.832 0.416 0.665  -0.08
Pt2 0.167 0.084 0.335  -0.08
Pt3 0.499 0.750 0.000  -0.08
Pt4 0.501 0.250 0.000  -0.08
Pt5 0.168 0.584 0.335  -0.08
Pt6 0.833 0.916 0.665  -0.08
Pu1 0.665 0.082 0.330  5.05
Pu2 0.665 0.582 0.330  5.05
Pu3 0.335 0.918 0.670  5.05
Pu4 0.335 0.418 0.670  5.05
Er1 0.999 0.750 0.000  0.04
Er2 0.001 0.250 0.000  0.04

As for the formation energy: -0.856 eV/atom.


5.
A plane-wave DFT calculation with GGA-PBE was carried out for a relaxed structure of ZrCo2Pt.

Lattice parameters (Å, degrees): 4.719 4.719 3.900 65.58 65.58 48.81
Site moments in Bohr magnetons follow the coordinates.
Element x y z (fractional)
Zr1 0.250 0.250 0.250  -0.25
Pt1 0.750 0.750 0.750  0.16
Co1 0.500 0.500 0.500  1.23
Co2 0.000 0.000 0.000  1.23

As for the formation energy: -0.380 eV/atom.


6.
A plane-wave DFT calculation with GGA-PBE was carried out for a relaxed structure of Ho6CdOs2.

Lattice parameters (Å, degrees): 8.467 8.467 8.467 103.54 112.43 112.60
Element x y z (fractional)
Ho1 0.795 0.756 0.551
Ho2 0.685 0.016 0.331
Ho3 0.205 0.756 0.961
Ho4 0.466 0.282 0.184
Ho5 0.534 0.718 0.816
Ho6 0.685 0.354 0.669
Ho7 0.315 0.646 0.331
Ho8 0.097 0.282 0.816
Ho9 0.205 0.244 0.449
Ho10 0.795 0.244 0.039
Ho11 0.315 0.984 0.669
Ho12 0.903 0.718 0.184
Cd1 0.000 0.500 0.500
Cd2 0.000 0.000 0.000
Os1 0.676 0.000 0.676
Os2 0.500 0.378 0.878
Os3 0.500 0.622 0.122
Os4 0.324 0.000 0.324

As for the formation energy: -0.269 eV/atom.


7.
A plane-wave DFT calculation with GGA-PBE was carried out for a relaxed structure of ZrTaCr2.

Lattice parameters (Å, degrees): 4.350 4.350 5.484 82.32 82.32 40.58
Site moments in Bohr magnetons follow the coordinates.
Element x y z (fractional)
Cr1 0.993 0.993 0.029  1.02
Cr2 0.507 0.507 0.471  1.02
Ta1 0.250 0.250 0.250  -0.21
Zr1 0.750 0.750 0.750  -0.10

As for the relative energy among the computed polymorphs: 31.3 kJ/mol of atoms. As for the formation energy: 0.465 eV/atom.


8.
A plane-wave DFT calculation with GGA-PBE was carried out for a relaxed structure of Al2CrHg.

Lattice parameters (Å, degrees): 7.431 7.431 5.943 51.30 51.30 90.00
Site moments in Bohr magnetons follow the coordinates.
Element x y z (fractional)
Al1 0.130 0.625 0.250  -0.04
Al2 0.375 0.380 0.750  -0.04
Al3 0.620 0.125 0.250  -0.04
Al4 0.875 0.870 0.750  -0.04
Hg1 0.750 0.250 0.500  -0.02
Hg2 0.000 0.000 0.000  -0.01
Cr1 0.500 0.500 0.000  3.25
Cr2 0.250 0.750 0.500  3.25

As for the formation energy: 0.463 eV/atom.


9.
A plane-wave DFT calculation with GGA-PBE was carried out for a relaxed structure of CuRh2Br.

Lattice parameters (Å, degrees): 4.859 4.859 4.859 132.07 132.07 70.13
Site moments in Bohr magnetons follow the coordinates.
Element x y z (fractional)
Rh1 0.250 0.750 0.500  0.59
Rh2 0.000 0.000 0.000  0.51
Cu1 0.750 0.250 0.500  0.08
Br1 0.500 0.500 0.000  0.02

As for the relative energy among the computed polymorphs: 30.9 kJ/mol of atoms. The value obtained for the energy relative to the elements, uncorrected is 0.65 eV per atom.


10.
A plane-wave DFT calculation with GGA-PBE was carried out for a relaxed structure of CsTl4Hg.

Lattice parameters (Å, degrees): 6.723 6.723 6.723 60.00 60.00 60.00
Element x y z (fractional)
Tl1 0.626 0.122 0.626
Tl2 0.626 0.626 0.626
Tl3 0.626 0.626 0.122
Tl4 0.122 0.626 0.626
Cs1 0.250 0.250 0.250
Hg1 0.000 0.000 0.000

As for the relative energy among the computed polymorphs: 6.8 kJ/mol of atoms. As for the formation energy: -0.004 eV/atom.


11.
A plane-wave DFT calculation with GGA-PBE was carried out for a relaxed structure of CoNi4Hg2.

Lattice parameters (Å, degrees): 4.269 4.269 7.258 72.90 72.90 90.00
Site moments in Bohr magnetons follow the coordinates.
Element x y z (fractional)
Ni1 0.167 0.167 0.666  0.61
Ni2 0.000 0.500 0.000  0.63
Ni3 0.833 0.833 0.334  0.61
Ni4 0.500 0.000 0.000  0.63
Hg1 0.637 0.637 0.726  0.00
Hg2 0.363 0.363 0.274  0.00
Co1 0.000 0.000 0.000  1.85

As for the formation energy: 0.772 eV/atom.


12.
A plane-wave DFT calculation with GGA-PBE was carried out for a relaxed structure of ErZrSnPd.

Lattice parameters (Å, degrees): 5.003 5.003 5.003 60.00 60.00 60.00
Site moments in Bohr magnetons follow the coordinates.
Element x y z (fractional)
Sn1 0.750 0.750 0.750  -0.02
Zr1 0.500 0.500 0.500  0.56
Er1 0.000 0.000 0.000  0.24
Pd1 0.250 0.250 0.250  0.10

As for the formation energy: -0.557 eV/atom.


13.
A plane-wave DFT calculation with GGA-PBE was carried out for a relaxed structure of Sb2PbSe.

Lattice parameters (Å, degrees): 5.343 5.343 5.343 60.00 60.00 60.00
Element x y z (fractional)
Sb1 0.000 0.000 0.000
Sb2 0.750 0.750 0.750
Pb1 0.500 0.500 0.500
Se1 0.250 0.250 0.250

As for the relative energy among the computed polymorphs: 29.2 kJ/mol of atoms. The value obtained for the energy relative to the elements, uncorrected is 0.09 eV per atom.


14.
A plane-wave DFT calculation with GGA-PBE was carried out for a relaxed structure of KMnCd2.

Lattice parameters (Å, degrees): 5.253 5.253 7.097 84.84 84.84 34.15
Site moments in Bohr magnetons follow the coordinates.
Element x y z (fractional)
Cd1 0.262 0.262 0.185  -0.03
Cd2 0.002 0.002 0.962  -0.04
K1 0.502 0.502 0.500  -0.01
Mn1 0.734 0.734 0.853  3.87

As for the relative energy among the computed polymorphs: 10.8 kJ/mol of atoms. As for the formation energy: 0.356 eV/atom.


15.
A plane-wave DFT calculation with GGA-PBE was carried out for a relaxed structure of La2TcCl.

Lattice parameters (Å, degrees): 6.526 6.526 7.838 65.40 65.40 90.00
Element x y z (fractional)
La1 0.375 0.314 0.750
La2 0.875 0.936 0.750
La3 0.686 0.125 0.250
La4 0.064 0.625 0.250
Tc1 0.750 0.250 0.500
Tc2 0.000 0.000 0.000
Cl1 0.250 0.750 0.500
Cl2 0.500 0.500 0.000

As for the relative energy among the computed polymorphs: 27.0 kJ/mol of atoms. The value obtained for the energy relative to the elements, uncorrected is -0.49 eV per atom.


16.
A plane-wave DFT calculation with GGA-PBE was carried out for a relaxed structure of Pu2HSe2.

Lattice parameters (Å, degrees): 7.432 6.920 7.982 90.00 90.00 90.00
Site moments in Bohr magnetons follow the coordinates.
Element x y z (fractional)
H1 0.750 0.584 0.622  0.03
H2 0.250 0.416 0.378  0.03
H3 0.750 0.084 0.378  0.03
H4 0.250 0.916 0.622  0.03
Pu1 0.750 0.910 0.617  -5.30
Pu2 0.750 0.426 0.868  -5.35
Pu3 0.250 0.074 0.868  -5.35
Pu4 0.250 0.090 0.383  -5.30
Pu5 0.250 0.590 0.617  -5.30
Pu6 0.250 0.574 0.132  -5.35
Pu7 0.750 0.926 0.132  -5.35
Pu8 0.750 0.410 0.383  -5.30
Se1 0.000 0.250 0.119  0.11
Se2 0.500 0.250 0.119  0.11
Se3 0.000 0.750 0.368  0.11
Se4 0.500 0.750 0.881  0.11
Se5 0.500 0.250 0.632  0.11
Se6 0.000 0.250 0.632  0.11
Se7 0.000 0.750 0.881  0.11
Se8 0.500 0.750 0.368  0.11

As for the relative energy among the computed polymorphs: 0.0 kJ/mol of atoms.


17.
A plane-wave DFT calculation with GGA-PBE was carried out for a relaxed structure of RbInHg2Bi.

Lattice parameters (Å, degrees): 5.844 5.844 5.948 90.00 90.00 90.00
Element x y z (fractional)
Bi1 0.000 0.000 0.500
Hg1 0.000 0.500 0.000
Hg2 0.500 0.000 0.000
Rb1 0.500 0.500 0.500
In1 0.000 0.000 0.000

As for the relative energy among the computed polymorphs: 15.2 kJ/mol of atoms. As for the formation energy: -0.033 eV/atom.


18.
A plane-wave DFT calculation with GGA-PBE was carried out for a relaxed structure of HoNi7Sn2As2.

Lattice parameters (Å, degrees): 4.031 4.031 11.738 84.39 84.39 87.20
Element x y z (fractional)
Sn1 0.069 0.069 0.651
Sn2 0.931 0.931 0.349
Ni1 0.500 0.500 0.000
Ni2 0.033 0.544 0.840
Ni3 0.544 0.033 0.840
Ni4 0.456 0.967 0.160
Ni5 0.967 0.456 0.160
Ni6 0.687 0.687 0.542
Ni7 0.313 0.313 0.458
As1 0.560 0.560 0.737
As2 0.440 0.440 0.263
Ho1 0.000 0.000 0.000

As for the formation energy: -0.102 eV/atom.


19.
A plane-wave DFT calculation with GGA-PBE was carried out for a relaxed structure of SiRhO2.

Lattice parameters (Å, degrees): 8.237 8.237 8.237 18.52 18.52 18.52
Site moments in Bohr magnetons follow the coordinates.
Element x y z (fractional)
O1 0.129 0.129 0.129  0.00
O2 0.871 0.871 0.871  0.00
Si1 0.500 0.500 0.500  0.00
Rh1 0.000 0.000 0.000  1.16

The value obtained for the energy relative to the elements, uncorrected is -1.40 eV per atom.


20.
A plane-wave DFT calculation with GGA-PBE was carried out for a relaxed structure of LaGdCoAg.

Lattice parameters (Å, degrees): 5.108 5.108 5.108 60.00 60.00 60.00
Site moments in Bohr magnetons follow the coordinates.
Element x y z (fractional)
La1 0.500 0.500 0.500  0.11
Co1 0.750 0.750 0.750  -1.01
Ag1 0.250 0.250 0.250  0.01
Gd1 0.000 0.000 0.000  7.16

As for the formation energy: -0.096 eV/atom.